Computed, not measured: LiHf3Ni8 after structural relaxation at the GGA-PBE level of DFT.

Computed properties:
The spin magnetization is 0.000 Bohr magnetons per cell. The value obtained for the formation energy is -5.256 eV per formula unit. As for the space group: R3m, No. 160. The calculation puts the total energy at -83.281 eV per cell.

a b c (Å): 4.833 4.833 8.390
angles (deg): 73.26 73.26 60.00
Element x y z (fractional)
Ni 0.938 0.435 0.688
Ni 0.688 0.688 0.936
Ni 0.437 0.437 0.185
Ni 0.938 0.938 0.688
Ni 0.188 0.188 0.435
Ni 0.437 0.942 0.185
Ni 0.942 0.437 0.185
Ni 0.435 0.938 0.688
Li 0.870 0.870 0.390
Hf 0.507 0.507 0.479
Hf 0.379 0.379 0.864
Hf 0.991 0.991 0.026